(1)
Al3GaCo | GGA-PBE | relaxed

Results
Symmetry: C2/m
E_form, eV per atom: -0.120
Offset from the most stable computed form, meV per atom: 59.3
E, eV/atom: -4.39

Cell lengths 5.826, 5.826, 6.250 Å; angles 117.82, 117.82, 77.65 degrees
Positions (direct):
Al: 0.077 0.077 0.376
Al: 0.115 0.497 0.252
Al: 0.497 0.115 0.252
Al: 0.503 0.885 0.748
Al: 0.885 0.503 0.748
Al: 0.923 0.923 0.624
Ga: 0.430 0.430 0.732
Ga: 0.570 0.570 0.268
Co: 0.246 0.246 0.887
Co: 0.754 0.754 0.113

***

(2)
Al2GaCo2 | GGA-PBE | relaxed

Results
Symmetry: P4/mbm
E_form, eV per atom: -0.345
E, eV/atom: -5.29

Cell lengths 6.701, 6.701, 2.907 Å; angles 90.00, 90.00, 90.00 degrees
Positions (direct):
Al: 0.143 0.357 0.000
Al: 0.357 0.857 0.000
Al: 0.643 0.143 0.000
Al: 0.857 0.643 0.000
Ga: 0.000 0.000 0.500
Ga: 0.500 0.500 0.500
Co: 0.154 0.654 0.500
Co: 0.346 0.154 0.500
Co: 0.654 0.846 0.500
Co: 0.846 0.346 0.500

***

(3)
HfAlGa4Co2 | GGA-PBE | relaxed

Results
Symmetry: P4/mmm
E_form, eV per atom: 0.028
E, eV/atom: -4.97

Cell lengths 3.585, 3.585, 10.244 Å; angles 90.00, 90.00, 90.00 degrees
Positions (direct):
Hf: 0.000 0.000 0.000
Al: 0.000 0.000 0.500
Ga: 0.000 0.500 0.222
Ga: 0.000 0.500 0.778
Ga: 0.500 0.000 0.222
Ga: 0.500 0.000 0.778
Co: 0.500 0.500 0.390
Co: 0.500 0.500 0.610

***

(4)
Hf2AlGa2Co5 | GGA-PBE | relaxed

Results
Symmetry: P4/mbm
E_form, eV per atom: -0.312
E, eV/atom: -6.84

Cell lengths 9.092, 9.092, 3.337 Å; angles 90.00, 90.00, 90.00 degrees
Positions (direct):
Hf: 0.174 0.326 0.000
Hf: 0.326 0.826 0.000
Hf: 0.674 0.174 0.000
Hf: 0.826 0.674 0.000
Al: 0.000 0.000 0.000
Al: 0.500 0.500 0.000
Ga: 0.124 0.624 0.000
Ga: 0.376 0.124 0.000
Ga: 0.624 0.876 0.000
Ga: 0.876 0.376 0.000
Co: 0.000 0.500 0.500
Co: 0.062 0.796 0.500
Co: 0.204 0.062 0.500
Co: 0.296 0.562 0.500
Co: 0.438 0.296 0.500
Co: 0.500 0.000 0.500
Co: 0.562 0.704 0.500
Co: 0.704 0.438 0.500
Co: 0.796 0.938 0.500
Co: 0.938 0.204 0.500

***

(5)
Ho3Al3Ga2Co | GGA-PBE | relaxed

Results
Symmetry: P-62m
E_form, eV per atom: -0.636
E, eV/atom: -4.87

Cell lengths 6.882, 6.882, 4.253 Å; angles 90.00, 90.00, 120.00 degrees
Positions (direct):
Ho: 0.000 0.595 0.000
Ho: 0.405 0.405 0.000
Ho: 0.595 0.000 0.000
Al: 0.000 0.228 0.500
Al: 0.228 0.000 0.500
Al: 0.772 0.772 0.500
Ga: 0.333 0.667 0.500
Ga: 0.667 0.333 0.500
Co: 0.000 0.000 0.000

***

(6)
Ho2AlGa2Co5 | GGA-PBE | relaxed

Results
Symmetry: P4/mbm
E_form, eV per atom: -0.253
E, eV/atom: -5.70

Cell lengths 9.492, 9.492, 3.291 Å; angles 90.00, 90.00, 90.00 degrees
Positions (direct):
Ho: 0.174 0.326 0.000
Ho: 0.326 0.826 0.000
Ho: 0.674 0.174 0.000
Ho: 0.826 0.674 0.000
Al: 0.000 0.000 0.000
Al: 0.500 0.500 0.000
Ga: 0.125 0.625 0.000
Ga: 0.375 0.125 0.000
Ga: 0.625 0.875 0.000
Ga: 0.875 0.375 0.000
Co: 0.000 0.500 0.500
Co: 0.062 0.799 0.500
Co: 0.201 0.062 0.500
Co: 0.299 0.562 0.500
Co: 0.438 0.299 0.500
Co: 0.500 0.000 0.500
Co: 0.562 0.701 0.500
Co: 0.701 0.438 0.500
Co: 0.799 0.938 0.500
Co: 0.938 0.201 0.500

***

(7)
AlGaCoIr | GGA-PBE | relaxed

Results
Symmetry: P4mm
E_form, eV per atom: -0.561
E, eV/atom: -6.25

Cell lengths 2.971, 2.971, 5.863 Å; angles 90.00, 90.00, 90.00 degrees
Positions (direct):
Al: 0.000 0.000 0.000
Ga: 0.000 0.000 0.465
Co: 0.500 0.500 0.237
Ir: 0.500 0.500 0.740

***

(8)
LaAl2GaCo | GGA-PBE | relaxed

Results
Symmetry: P4/mmm
E_form, eV per atom: -0.438
E, eV/atom: -4.95

Cell lengths 4.582, 4.582, 4.619 Å; angles 90.00, 90.00, 90.00 degrees
Positions (direct):
La: 0.000 0.000 0.000
Al: 0.000 0.500 0.500
Al: 0.500 0.000 0.500
Ga: 0.500 0.500 0.000
Co: 0.500 0.500 0.500

***

(9)
LaAlGa2Co | GGA-PBE | relaxed

Results
Symmetry: P4/mmm
E_form, eV per atom: -0.446
E, eV/atom: -4.81

Cell lengths 4.615, 4.615, 4.576 Å; angles 90.00, 90.00, 90.00 degrees
Positions (direct):
La: 0.000 0.000 0.000
Al: 0.500 0.500 0.000
Ga: 0.000 0.500 0.500
Ga: 0.500 0.000 0.500
Co: 0.500 0.500 0.500

***

(10)
MgAl2GaCo | GGA-PBE | relaxed

Results
Symmetry: P4/mmm
E_form, eV per atom: 0.916
E, eV/atom: -2.93

Cell lengths 4.737, 4.737, 4.893 Å; angles 90.00, 90.00, 90.00 degrees
Positions (direct):
Mg: 0.000 0.000 0.000
Al: 0.000 0.500 0.500
Al: 0.500 0.000 0.500
Ga: 0.000 0.000 0.500
Co: 0.500 0.500 0.000

***

(11)
NaAlGa2Co | GGA-PBE | relaxed

Results
Symmetry: P4/mmm
E_form, eV per atom: 0.494
Offset from the most stable computed form, meV per atom: 648.0
E, eV/atom: -3.15

Cell lengths 4.930, 4.930, 4.567 Å; angles 90.00, 90.00, 90.00 degrees
Positions (direct):
Na: 0.000 0.000 0.000
Al: 0.500 0.500 0.500
Ga: 0.000 0.500 0.500
Ga: 0.500 0.000 0.500
Co: 0.500 0.500 0.000

***

(12)
NaAlGa2Co | GGA-PBE | relaxed

Results
Symmetry: P4/mmm
E_form, eV per atom: -0.154
Offset from the most stable computed form, meV per atom: 0.0
E, eV/atom: -3.80

Cell lengths 4.596, 4.596, 4.548 Å; angles 90.00, 90.00, 90.00 degrees
Positions (direct):
Na: 0.000 0.000 0.000
Al: 0.500 0.500 0.000
Ga: 0.000 0.500 0.500
Ga: 0.500 0.000 0.500
Co: 0.500 0.500 0.500

***

(13)
Nb2AlGa2Co5 | GGA-PBE | relaxed

Results
Symmetry: P4/mbm
E_form, eV per atom: -0.117
E, eV/atom: -6.66

Cell lengths 9.655, 9.655, 2.846 Å; angles 90.00, 90.00, 90.00 degrees
Positions (direct):
Nb: 0.173 0.327 0.000
Nb: 0.327 0.827 0.000
Nb: 0.673 0.173 0.000
Nb: 0.827 0.673 0.000
Al: 0.000 0.000 0.000
Al: 0.500 0.500 0.000
Ga: 0.134 0.634 0.000
Ga: 0.366 0.134 0.000
Ga: 0.634 0.866 0.000
Ga: 0.866 0.366 0.000
Co: 0.000 0.500 0.500
Co: 0.034 0.801 0.500
Co: 0.199 0.034 0.500
Co: 0.301 0.534 0.500
Co: 0.466 0.301 0.500
Co: 0.500 0.000 0.500
Co: 0.534 0.699 0.500
Co: 0.699 0.466 0.500
Co: 0.801 0.966 0.500
Co: 0.966 0.199 0.500

***

(14)
Pa2Al2Ga4Co | GGA-PBE | relaxed

Results
Symmetry: I4/mmm
E_form, eV per atom: -0.356
E, eV/atom: -5.43

Cell lengths 6.125, 6.125, 6.125 Å; angles 119.63, 119.63, 90.64 degrees
Positions (direct):
Pa: 0.250 0.750 0.500
Pa: 0.750 0.250 0.500
Al: 0.224 0.224 0.000
Al: 0.776 0.776 0.000
Ga: 0.224 0.224 0.448
Ga: 0.224 0.776 0.000
Ga: 0.776 0.224 0.000
Ga: 0.776 0.776 0.552
Co: 0.500 0.500 0.000

***

(15)
Pa2Al2GaCo5 | GGA-PBE | relaxed

Results
Symmetry: P4/mbm
E_form, eV per atom: -0.188
E, eV/atom: -6.69

Cell lengths 9.982, 9.982, 2.990 Å; angles 90.00, 90.00, 90.00 degrees
Positions (direct):
Pa: 0.174 0.326 0.000
Pa: 0.326 0.826 0.000
Pa: 0.674 0.174 0.000
Pa: 0.826 0.674 0.000
Al: 0.128 0.628 0.000
Al: 0.372 0.128 0.000
Al: 0.628 0.872 0.000
Al: 0.872 0.372 0.000
Ga: 0.000 0.000 0.000
Ga: 0.500 0.500 0.000
Co: 0.000 0.500 0.500
Co: 0.031 0.796 0.500
Co: 0.204 0.031 0.500
Co: 0.296 0.531 0.500
Co: 0.469 0.296 0.500
Co: 0.500 0.000 0.500
Co: 0.531 0.704 0.500
Co: 0.704 0.469 0.500
Co: 0.796 0.969 0.500
Co: 0.969 0.204 0.500

***

(16)
Pa2AlGa2Co5 | GGA-PBE | relaxed

Results
Symmetry: P4/mbm
E_form, eV per atom: -0.210
E, eV/atom: -6.64

Cell lengths 9.671, 9.671, 3.269 Å; angles 90.00, 90.00, 90.00 degrees
Positions (direct):
Pa: 0.173 0.327 0.000
Pa: 0.327 0.827 0.000
Pa: 0.673 0.173 0.000
Pa: 0.827 0.673 0.000
Al: 0.000 0.000 0.000
Al: 0.500 0.500 0.000
Ga: 0.125 0.625 0.000
Ga: 0.375 0.125 0.000
Ga: 0.625 0.875 0.000
Ga: 0.875 0.375 0.000
Co: 0.000 0.500 0.500
Co: 0.013 0.787 0.500
Co: 0.213 0.013 0.500
Co: 0.287 0.513 0.500
Co: 0.487 0.287 0.500
Co: 0.500 0.000 0.500
Co: 0.513 0.713 0.500
Co: 0.713 0.487 0.500
Co: 0.787 0.987 0.500
Co: 0.987 0.213 0.500

***

(17)
AlGaCoPd | GGA-PBE | relaxed

Results
Symmetry: F-43m
E_form, eV per atom: -0.498
E, eV/atom: -5.27

Cell lengths 4.226, 4.226, 4.226 Å; angles 60.00, 60.00, 60.00 degrees
Positions (direct):
Al: 0.000 0.000 0.000
Ga: 0.500 0.500 0.500
Co: 0.250 0.250 0.250
Pd: 0.750 0.750 0.750

***

(18)
AlGaCo2Rh | GGA-PBE | relaxed

Results
Symmetry: P4/mmm
E_form, eV per atom: 0.863
E, eV/atom: -4.80

Cell lengths 4.611, 4.611, 4.608 Å; angles 90.00, 90.00, 90.00 degrees
Positions (direct):
Al: 0.000 0.000 0.000
Ga: 0.500 0.500 0.000
Co: 0.000 0.500 0.500
Co: 0.500 0.000 0.500
Rh: 0.500 0.500 0.500

***

(19)
AlGaCoRh | GGA-PBE | relaxed

Results
Symmetry: F-43m
E_form, eV per atom: -0.637
Offset from the most stable computed form, meV per atom: 0.0
E, eV/atom: -5.94

Cell lengths 4.171, 4.171, 4.171 Å; angles 60.00, 60.00, 60.00 degrees
Positions (direct):
Al: 0.000 0.000 0.000
Ga: 0.500 0.500 0.500
Co: 0.750 0.750 0.750
Rh: 0.250 0.250 0.250

***

(20)
AlGaCoRh | GGA-PBE | relaxed

Results
Symmetry: Pmmm
E_form, eV per atom: -0.633
Offset from the most stable computed form, meV per atom: 3.4
E, eV/atom: -5.94

Cell lengths 2.995, 4.120, 4.168 Å; angles 90.00, 90.00, 90.00 degrees
Positions (direct):
Al: 0.000 0.000 0.000
Ga: 0.000 0.500 0.500
Co: 0.500 0.000 0.500
Rh: 0.500 0.500 0.000